(1)
# ZnBOs3

An optimized crystal structure of ZnBOs3 (PBE, Alexandria).

Calculated values
As for the space group: Pm-3m, No. 221. The excess energy over the best structure of this formula in the dataset comes out at 2586 meV per atom. Its formation energy is 3.04 eV/atom. The value obtained for the density of states at the Fermi level is 5.46 states/eV/f.u.

abc: 4.4585 4.4585 4.4585
angles: 90.00 90.00 90.00
Closest atoms and distances in Å follow each position.
Element x y z (fractional)
Zn 0.0000 0.0000 0.0000  6 Os 2.23
B 0.5000 0.5000 0.5000  12 Os 3.15
Os 0.0000 0.5000 0.0000  2 Zn 2.23
Os 0.0000 0.0000 0.5000  2 Zn 2.23
Os 0.5000 0.0000 0.0000  2 Zn 2.23



(2)
# ScTaMo2

An optimized crystal structure of ScTaMo2 (PBE, Alexandria).

Calculated values
As for the space group: Cmm2, No. 35. The excess energy over the best structure of this formula in the dataset comes out at 86 meV per atom. Its formation energy is 0.10 eV/atom. The value obtained for the density of states at the Fermi level is 4.73 states/eV/f.u.

abc: 2.8532 2.8532 9.3180
angles: 90.00 90.00 110.52
Closest atoms and distances in Å follow each position.
Element x y z (fractional)
Mo 0.0000 0.0000 0.0076  6 Mo 2.66-2.85, 2 Ta 2.75
Mo 0.5000 0.5000 0.2339  6 Mo 2.66-2.85, 2 Sc 2.88
Sc 0.0000 0.0000 0.4889  4 Sc 2.85, 2 Mo 2.88, 2 Ta 3.08
Ta 0.5000 0.5000 0.7695  2 Mo 2.75, 4 Ta 2.85, 2 Sc 3.08



(3)
# MnFe2SbRh

An optimized crystal structure of MnFe2SbRh (PBE, Alexandria).

Calculated values
As for the space group: P4/mmm, No. 123. The uncorrected formation energy comes out at 95.5 kJ per mole of atoms. The value obtained for the density of states at the Fermi level is 7.80 states/eV/f.u.

abc: 4.2084 4.7311 4.2084
angles: 90.00 90.00 90.00
Closest atoms and distances in Å follow each position.
Element x y z (fractional)
Sb 0.0000 0.5000 0.0000  2 Mn 2.37
Mn 0.0000 0.0000 0.0000  4 Fe 2.10
Rh 0.5000 0.5000 0.5000  4 Sb 2.98, 8 Fe 3.17
Fe 0.0000 0.0000 0.5000  2 Mn 2.10
Fe 0.5000 0.0000 0.0000  2 Mn 2.10



(4)
# Be8NbFe3

An optimized crystal structure of Be8NbFe3 (PBE, Alexandria).

Calculated values
As for the space group: P3m1, No. 156. Its formation energy is -0.26 eV/atom. The value obtained for the density of states at the Fermi level is 3.11 states/eV/f.u.

abc: 4.2688 4.2688 7.0252
angles: 90.00 90.00 120.00
Closest atoms and distances in Å follow each position.
Element x y z (fractional)
Be 0.3333 0.6667 0.4923  6 Be 2.18-2.28
Be 0.3333 0.6667 0.0036  6 Be 2.07-2.10
Be 0.5029 0.0058 0.7638  6 Be 2.10-2.28
Be 0.5029 0.4971 0.7638  6 Be 2.10-2.28
Be 0.9942 0.4971 0.7638  6 Be 2.10-2.28
Be 0.1643 0.3286 0.2386  6 Be 2.07-2.18
Be 0.1643 0.8357 0.2386  6 Be 2.07-2.18
Be 0.6714 0.8357 0.2386  6 Be 2.07-2.18
Nb 0.0000 0.0000 0.5593  12 Be 2.51-2.57, 4 Fe 2.60-2.65
Fe 0.6667 0.3333 0.4395  12 Be 2.49-2.58, 3 Nb 2.60, 1 Fe 2.65
Fe 0.6667 0.3333 0.0618  12 Be 2.42-2.50, 4 Fe 2.62-2.65
Fe 0.0000 0.0000 0.9363  12 Be 2.45-2.51, 3 Fe 2.62, 1 Nb 2.65



(5)
# TbSm2YTm

An optimized crystal structure of TbSm2YTm (PBE, Alexandria).

Calculated values
As for the space group: Cmcm, No. 63. Its formation energy is 0.40 eV/atom. The value obtained for the density of states at the Fermi level is 7.01 states/eV/f.u.

abc: 7.2190 8.3742 7.1261
angles: 125.99 90.00 90.00
Closest atoms and distances in Å follow each position.
Element x y z (fractional)
Tb 0.2500 0.7167 0.4334  1 Tm 3.07
Tb 0.7500 0.2833 0.5666  1 Tm 3.07
Sm 0.5000 0.3061 0.0000  2 Tm 3.14, 1 Sm 3.25, 2 Tb 3.48
Sm 0.0000 0.6939 0.0000  2 Tm 3.14, 1 Sm 3.25, 2 Tb 3.48
Sm 0.5000 0.6939 0.0000  2 Tm 3.14, 1 Sm 3.25, 2 Tb 3.48
Sm 0.0000 0.3061 0.0000  2 Tm 3.14, 1 Sm 3.25, 2 Tb 3.48
Y 0.7500 0.7385 0.4770  1 Tm 3.22
Y 0.2500 0.2615 0.5230  1 Tm 3.22
Tm 0.2500 0.9826 0.9652  1 Tb 3.07, 4 Sm 3.14, 1 Y 3.22
Tm 0.7500 0.0174 0.0348  1 Tb 3.07, 4 Sm 3.14, 1 Y 3.22



(6)
# Na2SrSi4

An optimized crystal structure of Na2SrSi4 (PBE, Alexandria).

Calculated values
As for the space group: R-3m, No. 166. The uncorrected formation energy comes out at -13.1 kJ per mole of atoms. The value obtained for the density of states at the Fermi level is 1.35 states/eV/f.u.

abc: 3.9126 3.9126 13.6254
angles: 81.75 81.75 60.00
Closest atoms and distances in Å follow each position.
Element x y z (fractional)
Na 0.8735 0.8735 0.3796  3 Si 3.04
Na 0.1265 0.1265 0.6204  3 Si 3.04
Sr 0.0000 0.0000 0.0000  6 Si 3.18
Si 0.6110 0.6110 0.1669  3 Si 2.41
Si 0.7429 0.7429 0.7714  3 Si 2.41
Si 0.2571 0.2571 0.2286  3 Si 2.41
Si 0.3890 0.3890 0.8331  3 Si 2.41



(7)
# MgTe2AsP

An optimized crystal structure of MgTe2AsP (PBE, Alexandria).

Calculated values
As for the space group: P4/mmm, No. 123. The uncorrected formation energy comes out at 59.9 kJ per mole of atoms. The value obtained for the density of states at the Fermi level is 2.47 states/eV/f.u.

abc: 5.5364 4.7911 5.5364
angles: 90.00 90.00 90.00
Closest atoms and distances in Å follow each position.
Element x y z (fractional)
P 0.5000 0.5000 0.5000  8 Te 3.66, 4 Mg 3.91
As 0.0000 0.0000 0.0000  2 Mg 2.40
Te 0.0000 0.0000 0.5000  2 As 2.77
Te 0.5000 0.0000 0.0000  2 As 2.77
Mg 0.0000 0.5000 0.0000  2 As 2.40



(8)
# Pu3PSe2

An optimized crystal structure of Pu3PSe2 (PBE, Alexandria).

Calculated values
As for the space group: Immm, No. 71. The excess energy over the best structure of this formula in the dataset comes out at 43 meV per atom. The uncorrected formation energy comes out at -133.6 kJ per mole of atoms. The value obtained for the density of states at the Fermi level is 28.31 states/eV/f.u.

abc: 4.0893 5.7815 7.1103
angles: 113.99 106.71 90.00
Closest atoms and distances in Å follow each position.
Element x y z (fractional)
Pu 0.3419 0.3419 0.6838  2 P 2.83, 4 Se 2.90-2.94
Pu 0.0000 0.0000 0.0000  2 P 2.89, 4 Se 2.94
Pu 0.6581 0.6581 0.3162  2 P 2.83, 4 Se 2.90-2.94
P 0.0000 0.5000 0.0000  6 Pu 2.83-2.89
Se 0.6709 0.1709 0.3417  6 Pu 2.90-2.94
Se 0.3291 0.8291 0.6583  6 Pu 2.90-2.94